Entry 1:
Entry from Alexandria via LeMat-Bulk: crystalline Li2ZnSe at its relaxed geometry (GGA-PBE).

## Properties
**Volume**: 68 Å³/f.u.
**Raw formation energy**: -11.66 kcal/mol of atoms
**Calculated total energy**: -2.652 eV per atom

Unit cell a=5.2985 b=5.2985 c=5.2985 alpha=137.06 beta=137.06 gamma=62.35
Atoms (fractional coordinates):
1 Li 0.0000 0.0000 0.0000
2 Li 0.2500 0.7500 0.5000
3 Se 0.5000 0.5000 0.0000
4 Zn 0.7500 0.2500 0.5000



Entry 2:
Entry from Alexandria via LeMat-Bulk: crystalline BaGdPd2 at its relaxed geometry (GGA-PBE).

## Properties
**Volume**: 102 Å³/f.u.
**Calculated formation energy**: -0.53 eV per atom
**Calculated total energy**: -7.128 eV per atom

Unit cell a=3.6431 b=5.2912 c=5.2912 alpha=90.00 beta=90.00 gamma=90.00
Last column: magnetic moment on the atom in μB.
Atoms (fractional coordinates):
1 Gd 0.5000 0.0000 0.0000  6.99
2 Ba 0.5000 0.5000 0.5000  0.00
3 Pd 0.0000 0.0000 0.5000  -0.01
4 Pd 0.0000 0.5000 0.0000  -0.01



Entry 3:
Entry from Alexandria via LeMat-Bulk: crystalline SmDy2Sn2 at its relaxed geometry (GGA-PBE).

## Properties
**Volume**: 140 Å³/f.u.
**Calculated formation energy**: -0.57 eV per atom
**Calculated total energy**: -4.960 eV per atom

Unit cell a=5.2350 b=5.2350 c=6.6319 alpha=66.75 beta=66.75 gamma=59.99
Atoms (fractional coordinates):
1 Sm 0.0000 0.5000 0.0000
2 Dy 0.2086 0.7086 0.3741
3 Dy 0.7914 0.2914 0.6259
4 Sn 0.5898 0.0898 0.2307
5 Sn 0.4102 0.9102 0.7693



Entry 4:
Entry from Alexandria via LeMat-Bulk: crystalline CrCu2Ag at its relaxed geometry (GGA-PBE).

## Properties
**Volume**: 58 Å³/f.u.
**Calculated formation energy**: 0.30 eV per atom
**Calculated total energy**: -4.866 eV per atom

Unit cell a=3.9675 b=3.9675 c=3.6967 alpha=90.00 beta=90.00 gamma=90.00
Last column: magnetic moment on the atom in μB.
Atoms (fractional coordinates):
1 Ag 0.5000 0.0000 0.5000  0.10
2 Cr 0.0000 0.5000 0.5000  3.62
3 Cu 0.0000 0.0000 0.0000  0.14
4 Cu 0.5000 0.5000 0.0000  0.14



| no. | size of the total moment (μB per formula unit) |
| --- | --- |
| 1 | 0.000 |
| 2 | 7.091 |
| 3 | 0.000 |
| 4 | 4.406 |